Below is a relaxed structure of TiMnS2Cl, with properties calculated at the GGA-PBE level.

The space group is P4/mmm (No. 123) and the conventional cell measures 4.692, 4.692 and 4.492 Å, with angles of 90.00, 90.00 and 90.00 degrees. The distinct sites, in fractional coordinates, are Ti at (0.000, 0.000, 0.000), Mn at (0.500, 0.500, 0.500), S at (0.000, 0.500, 0.500) and Cl at (0.500, 0.500, 0.000).

The offset from the most stable computed form is 363 meV per atom. The size of the total moment comes out at 3.9 μB per formula unit.